[1]
DFT (PBE) results for Tc2SbPb after structural relaxation.

Cell: 5.208 5.208 5.214 Å, 68.82 68.82 35.65°
Element x y z (fractional)
Pb1 0.522 0.522 0.432
Sb1 0.730 0.730 0.802
Tc1 0.975 0.975 0.943
Tc2 0.274 0.274 0.323

Calculated values
energy above the lowest structure with this stoichiometry = 1.04 eV per formula unit
size of the total moment = 0.0 μB per formula unit
E = -6.697 eV/atom
theoretical density = 11429 kg/m3
crystal system = monoclinic

[2]
DFT (PBE) results for TcSb2TePb after structural relaxation.

Cell: 5.037 5.037 5.981 Å, 90.00 90.00 90.00°
Element x y z (fractional)
Pb1 0.500 0.500 0.500
Sb1 0.000 0.500 0.000
Sb2 0.500 0.000 0.000
Te1 0.000 0.000 0.500
Tc1 0.000 0.000 0.000

Calculated values
energy above the lowest structure with this stoichiometry = 0.00 eV per formula unit
size of the total moment = 0.0 μB per formula unit
E = -4.717 eV/atom
theoretical density = 7401 kg/m3
crystal system = tetragonal

[3]
DFT (PBE) results for TcSbPbW2 after structural relaxation.

Cell: 4.847 5.149 4.847 Å, 90.00 90.00 90.00°
Element x y z (fractional)
Pb1 0.000 0.500 0.000
Sb1 0.500 0.500 0.500
Tc1 0.000 0.000 0.000
W1 0.000 0.000 0.500
W2 0.500 0.000 0.000

Calculated values
size of the total moment = 1.9 μB per formula unit
E = -7.250 eV/atom
theoretical density = 10907 kg/m3
crystal system = tetragonal